Compound: LiMnRh2
Source: the Alexandria database
Functional: meta-GGA SCAN
Structure: single point on PBEsol structure

Calculated values
Calculated density   8.3 g cm⁻³
Size of the total moment   9.2 μB per cell
ΔH_f (0 K)   -0.218 eV/atom

Unit cell a=2.884 b=4.487 c=8.281 alpha=90.00 beta=90.00 gamma=90.00
Space group Cmmm (No. 65)
Asymmetric unit:
Li: 0.000 0.000 0.000 [2 per cell]
Mn: 0.000 0.000 0.500 [2 per cell]
Rh: 0.000 0.500 0.260 [4 per cell]